DFT (PBE-GGA) results for a relaxed AcTlSi crystal.

abc: 4.0034 4.4405 10.6161
angles: 102.07 107.45 90.00
Closest atoms and distances in Å follow each position.
Atoms (fractional coordinates):
Ac 0.6020 0.9071 0.8141  6 Si 3.21-3.35
Ac 0.3980 0.0929 0.1859  6 Si 3.21-3.35
Tl 0.8401 0.2881 0.5763  4 Tl 3.21-3.49, 1 Si 3.52
Tl 0.1599 0.7119 0.4237  4 Tl 3.21-3.49, 1 Si 3.52
Si 0.1948 0.4658 0.9316  2 Si 2.41-2.42
Si 0.8052 0.5342 0.0684  2 Si 2.41-2.42

Properties
The raw formation energy is -437 meV/atom. The symmetry is C2/m, No. 12. Its excess energy over the best structure of this formula in the dataset is 0.000 eV per atom.